Below is a geometry-optimized SmDy3Co2 structure, with properties calculated at the PBE level.

Computed properties:
**SG**: No. 12
**ΔH_f (0 K)**: -134 meV/atom
**Theoretical density**: 8.4 g/cm3

```
SmDy3Co2
1.0
3.672 0.000 0.740
1.557 8.128 1.752
-0.096 -0.117 9.957
Sm Dy Co
2 6 4
direct
0.843 0.568 0.746
0.157 0.432 0.254
0.158 0.932 0.751
0.842 0.068 0.249
0.416 0.223 0.945
0.584 0.777 0.055
0.585 0.269 0.561
0.415 0.731 0.439
0.235 0.579 0.951
0.765 0.421 0.049
0.766 0.920 0.547
0.234 0.080 0.453
```